Entry from Alexandria: a relaxed structure of BaCr2H2O6 (PBE with a Hubbard U).

a b c (Å): 4.967 5.334 5.925
angles (deg): 65.88 88.32 85.05
Fractional positions:
Ba  0.000  0.000  0.000
Cr  0.426  0.731  0.559
Cr  0.574  0.269  0.441
H  0.031  0.393  0.310
H  0.969  0.607  0.690
O  0.123  0.675  0.751
O  0.290  0.525  0.373
O  0.446  0.039  0.280
O  0.554  0.961  0.720
O  0.710  0.475  0.627
O  0.877  0.325  0.249

Results
Magnetic moment, μB per atom: 0.3636
Energy, eV per formula unit: -72.450
Space group: P-1 (2)


Entry from Alexandria: a relaxed structure of Ba2CrHO3 (PBE with a Hubbard U).

a b c (Å): 3.865 4.107 13.579
angles (deg): 90.00 90.00 90.00
Fractional positions:
Ba  0.000  0.000  0.147
Ba  0.000  0.000  0.853
Ba  0.500  0.500  0.353
Ba  0.500  0.500  0.647
Cr  0.000  0.000  0.500
Cr  0.500  0.500  0.000
H  0.000  0.500  0.000
H  0.500  0.000  0.500
O  0.000  0.000  0.350
O  0.000  0.000  0.650
O  0.000  0.500  0.500
O  0.500  0.000  0.000
O  0.500  0.500  0.150
O  0.500  0.500  0.850

Results
Magnetic moment, μB per atom: 0.4286
Energy, eV per formula unit: -43.247
Space group: Immm (71)